# 1
Here is a relaxed structure of Zn2TcPb from Alexandria via LeMat-Bulk. Energies are from PBE.

Cell: 3.5009 3.5113 5.7451 Å, 90.00 90.00 90.00°
With the nearest neighbours (Å) after each atom.
Space group Pmmm (No. 47)
Asymmetric unit:
Zn: 0.0000 0.0000 0.2088 x2  1 Zn 2.40
Tc: 0.5000 0.5000 0.0000 x1  8 Zn 2.75, 2 Pb 2.87
Pb: 0.5000 0.5000 0.5000 x1  2 Tc 2.87, 8 Zn 2.99

The formation energy is 0.3161 eV per atom.



# 2
Here is a relaxed structure of ZnTc2Pb from Alexandria via LeMat-Bulk. Energies are from PBE.

Cell: 3.0520 3.0463 8.2634 Å, 90.00 100.62 90.00°
With the nearest neighbours (Å) after each atom.
Space group Pm (No. 6)
Asymmetric unit:
Zn: 0.0000 0.0000 0.0000 x1  4 Tc 2.74, 4 Zn 3.05
Tc: 0.1895 0.0000 0.3783 x1  4 Tc 2.56
Tc: 0.6046 0.5000 0.2089 x1  4 Tc 2.56, 4 Zn 2.74
Pb: 0.8313 0.5000 0.6556 x1  4 Pb 3.05, 4 Tc 3.11-3.12, 2 Zn 3.18

The energy above the most stable polymorph in this dataset is 0 meV per atom. The formation energy is 0.1927 eV per atom.



# 3
Here is a relaxed structure of ZnTc2Pb from Alexandria via LeMat-Bulk. Energies are from PBE.

Cell: 3.0495 3.0495 8.1290 Å, 90.00 90.00 90.00°
With the nearest neighbours (Å) after each atom.
Space group P4mm (No. 99)
Asymmetric unit:
Zn: 0.0000 0.0000 0.0000 x1  5 Tc 2.73-3.06, 4 Zn 3.05
Tc: 0.0000 0.0000 0.6238 x1  4 Tc 2.56
Tc: 0.5000 0.5000 0.7936 x1  4 Tc 2.56, 4 Zn 2.73
Pb: 0.5000 0.5000 0.3435 x1  4 Pb 3.05, 4 Tc 3.14

The energy above the most stable polymorph in this dataset is 17 meV per atom. The formation energy is 0.2095 eV per atom.



# 4
Here is a relaxed structure of Zr2TcPb from Alexandria via LeMat-Bulk. Energies are from PBE.

Cell: 3.4196 3.4196 7.1807 Å, 90.00 90.00 90.00°
With the nearest neighbours (Å) after each atom.
Space group P4mm (No. 99)
Asymmetric unit:
Zr: 0.0000 0.0000 0.0000 x1  4 Tc 2.82, 4 Zr 3.12, 1 Pb 3.13
Zr: 0.5000 0.5000 0.2740 x1  8 Zr 3.12-3.42, 4 Pb 3.19, 1 Tc 3.43
Tc: 0.5000 0.5000 0.7970 x1  4 Zr 2.82, 4 Pb 2.94
Pb: 0.0000 0.0000 0.5636 x1  4 Tc 2.94, 5 Zr 3.13-3.19

The energy above the most stable polymorph in this dataset is 260 meV per atom. The formation energy is 0.0115 eV per atom.



# 5
Here is a relaxed structure of Zr4TcPb from Alexandria via LeMat-Bulk. Energies are from PBE.

Cell: 8.0453 8.0453 8.0453 Å, 90.00 90.00 90.00°
With the nearest neighbours (Å) after each atom.
Space group F-43m (No. 216)
Asymmetric unit:
Zr: 0.1234 0.1234 0.3766 x16  6 Zr 2.81-2.88
Tc: 0.2500 0.2500 0.7500 x4  12 Zr 3.33, 4 Pb 3.48
Pb: 0.0000 0.0000 0.0000 x4  12 Zr 3.34, 4 Tc 3.48

The formation energy is 0.4395 eV per atom.



# 6
Here is a relaxed structure of Zr3TcPb from Alexandria via LeMat-Bulk. Energies are from PBE.

Cell: 5.0442 5.0442 5.0442 Å, 90.00 90.00 90.00°
With the nearest neighbours (Å) after each atom.
Space group Pm-3m (No. 221)
Asymmetric unit:
Zr: 0.0000 0.0000 0.5000 x3  2 Tc 2.52
Tc: 0.0000 0.0000 0.0000 x1  6 Zr 2.52
Pb: 0.5000 0.5000 0.5000 x1  12 Zr 3.57

The energy above the most stable polymorph in this dataset is 0 meV per atom. The formation energy is 0.2952 eV per atom.



> Number 6 is which compound?

Zr3TcPb



> The lowest formation energy belongs to which entry?

Zr2TcPb



> What is the formation energy in the second record?

0.1927 eV per atom